FeCu2Hg | PBE | optimized geometry

```
FeCu2Hg
1.0
3.848 0.000 0.000
0.000 3.904 0.000
0.000 0.000 3.848
Cu Fe Hg
2 1 1
Cartesian
0.000 0.000 0.000
1.924 1.952 0.000
1.924 0.000 1.924
0.000 1.952 1.924
```

Results
Size of the total moment   2.53 μB/f.u.
Space group   Pmmm, No. 47
Energy above the most stable polymorph in this dataset   0.0727 eV/atom
Uncorrected energy   -3.90 eV per atom
Energy relative to the elements   7.71 kcal/mol of atoms